Arrangement one

The following is a PBE calculation of TlAgRh2 after structural relaxation, from Alexandria via LeMat-Bulk.

a = 4.5963 Å, b = 4.5963 Å, c = 4.5963 Å
α = 60.00°, β = 60.00°, γ = 60.00°
Each line ends with the local moment (μB).
Positions (direct):
Rh 0.0000 0.0000 0.0000  0.46
Tl 0.7500 0.7500 0.7500  -0.01
Rh 0.2500 0.2500 0.2500  0.57
Ag 0.5000 0.5000 0.5000  0.01

Summary:
Space-group type: F-43m

Arrangement two

The following is a PBE calculation of TlAgRh2 after structural relaxation, from Alexandria via LeMat-Bulk.

a = 2.9584 Å, b = 2.9584 Å, c = 8.1224 Å
α = 90.00°, β = 90.00°, γ = 90.00°
Each line ends with the local moment (μB).
Positions (direct):
Rh 0.0000 0.0000 0.0202  0.77
Ag 0.5000 0.5000 0.7771  0.01
Rh 0.5000 0.5000 0.2230  0.54
Tl 0.0000 0.0000 0.4797  0.00

Summary:
Space-group type: P4mm

Stability verdict: arrangement two, ahead by 38 meV/atom

Arrangement one

The following is a PBE calculation of TlAgRh2 after structural relaxation, from Alexandria via LeMat-Bulk.

a = 8.9868 Å, b = 8.9868 Å, c = 8.9868 Å
α = 19.37°, β = 19.37°, γ = 19.37°
Each line ends with the local moment (μB).
Positions (direct):
Rh 0.7510 0.7510 0.7510  0.14
Ag 0.0000 0.0000 0.0000  0.00
Rh 0.2490 0.2490 0.2490  0.14
Tl 0.5000 0.5000 0.5000  -0.01

Summary:
Space-group type: R-3m

Arrangement two

The following is a PBE calculation of TlAgRh2 after structural relaxation, from Alexandria via LeMat-Bulk.

a = 3.0206 Å, b = 4.6689 Å, c = 4.8705 Å
α = 90.00°, β = 90.00°, γ = 90.00°
Positions (direct):
Rh 0.5000 0.0000 0.5000
Ag 0.0000 0.5000 0.5000
Tl 0.5000 0.5000 0.0000
Rh 0.0000 0.0000 0.0000

Summary:
Space-group type: Pmmm

Stability verdict: arrangement two, ahead by 29 meV/atom

Arrangement one

The following is a PBE calculation of Tm8Ag2Rh after structural relaxation, from Alexandria via LeMat-Bulk.

a = 5.9204 Å, b = 8.7374 Å, c = 8.7374 Å
α = 129.72°, β = 102.99°, γ = 102.99°
Positions (direct):
Tm 0.2894 0.6150 0.8425
Tm 0.9826 0.8109 0.1984
Tm 0.2894 0.8425 0.6150
Tm 0.9826 0.1984 0.8109
Ag 0.4826 0.7259 0.2883
Tm 0.7682 0.7254 0.7254
Tm 0.6510 0.3899 0.1547
Tm 0.6510 0.1547 0.3899
Ag 0.4826 0.2883 0.7259
Rh 0.2921 0.0077 0.0077
Tm 0.1281 0.2754 0.2754

Summary:
Space-group type: Cm

Arrangement two

The following is a PBE calculation of Tm8Ag2Rh after structural relaxation, from Alexandria via LeMat-Bulk.

a = 5.1511 Å, b = 6.7471 Å, c = 8.9567 Å
α = 107.50°, β = 106.71°, γ = 90.00°
Positions (direct):
Tm 0.0272 0.7886 0.0543
Rh 0.5000 0.0000 0.0000
Tm 0.6601 0.9664 0.3202
Tm 0.8011 0.6947 0.6021
Ag 0.8167 0.2868 0.6335
Tm 0.9728 0.2114 0.9457
Ag 0.1833 0.7132 0.3665
Tm 0.3399 0.0336 0.6798
Tm 0.1989 0.3053 0.3979
Tm 0.4091 0.5686 0.8183
Tm 0.5909 0.4314 0.1817

Summary:
Space-group type: C2/m

Stability verdict: arrangement two, ahead by 59 meV/atom

Arrangement one

The following is a PBE calculation of Tm3Ag2Rh after structural relaxation, from Alexandria via LeMat-Bulk.

a = 4.9545 Å, b = 4.9545 Å, c = 6.1198 Å
α = 90.00°, β = 90.00°, γ = 120.00°
Positions (direct):
Tm 0.0000 0.0000 0.5000
Ag 0.6667 0.3333 0.3450
Tm 0.3333 0.6667 0.1495
Ag 0.3333 0.6667 0.6550
Tm 0.6667 0.3333 0.8505
Rh 0.0000 0.0000 0.0000

Summary:
Space-group type: P-3m1

Arrangement two

The following is a PBE calculation of Tm3Ag2Rh after structural relaxation, from Alexandria via LeMat-Bulk.

a = 3.5086 Å, b = 3.5086 Å, c = 10.6018 Å
α = 90.00°, β = 90.00°, γ = 90.00°
Positions (direct):
Ag 0.5000 0.5000 0.1728
Ag 0.5000 0.5000 0.8272
Tm 0.0000 0.0000 0.3480
Rh 0.5000 0.5000 0.5000
Tm 0.0000 0.0000 0.0000
Tm 0.0000 0.0000 0.6520

Summary:
Space-group type: P4/mmm

Stability verdict: arrangement two, ahead by 10 meV/atom

Arrangement one

The following is a PBE calculation of Tm3AgRh after structural relaxation, from Alexandria via LeMat-Bulk.

a = 5.7474 Å, b = 5.7474 Å, c = 9.2804 Å
α = 63.68°, β = 63.68°, γ = 65.77°
Positions (direct):
Ag 0.7135 0.2865 0.5000
Tm 0.7120 0.7120 0.7200
Tm 0.2880 0.2880 0.2800
Tm 0.9243 0.9243 0.2858
Tm 0.6913 0.6913 0.1167
Ag 0.2865 0.7135 0.5000
Tm 0.3087 0.3087 0.8833
Rh 0.7514 0.2486 0.0000
Rh 0.2486 0.7514 0.0000
Tm 0.0757 0.0757 0.7142

Summary:
Space-group type: C2/m

Arrangement two

The following is a PBE calculation of Tm3AgRh after structural relaxation, from Alexandria via LeMat-Bulk.

a = 3.8005 Å, b = 8.6000 Å, c = 8.6036 Å
α = 69.00°, β = 90.00°, γ = 90.00°
Positions (direct):
Rh 0.3638 0.1942 0.7464
Rh 0.3626 0.6942 0.2463
Tm 0.3633 0.0243 0.0764
Tm 0.3633 0.3642 0.4165
Tm 0.8626 0.7606 0.4348
Tm 0.8637 0.0055 0.6802
Tm 0.8637 0.3828 0.8124
Ag 0.3632 0.6942 0.7464
Tm 0.8626 0.6278 0.0579
Ag 0.8634 0.1937 0.2470

Summary:
Space-group type: Amm2

Stability verdict: arrangement one, ahead by 94 meV/atom

Arrangement one

The following is a PBE calculation of Tm4AgRh2 after structural relaxation, from Alexandria via LeMat-Bulk.

a = 4.8495 Å, b = 4.8495 Å, c = 6.8096 Å
α = 90.00°, β = 90.00°, γ = 90.00°
Positions (direct):
Tm 0.5000 0.0000 0.2552
Ag 0.5000 0.5000 0.0000
Tm 0.5000 0.0000 0.7448
Rh 0.5000 0.5000 0.5000
Tm 0.0000 0.5000 0.7448
Rh 0.0000 0.0000 0.0000
Tm 0.0000 0.5000 0.2552

Summary:
Space-group type: P4/mmm

Arrangement two

The following is a PBE calculation of Tm4AgRh2 after structural relaxation, from Alexandria via LeMat-Bulk.

a = 7.0995 Å, b = 7.1182 Å, c = 7.5222 Å
α = 106.95°, β = 105.66°, γ = 106.64°
Positions (direct):
Tm 0.8254 0.6095 0.6009
Tm 0.4199 0.0452 0.3162
Ag 0.2567 0.7119 0.5243
Rh 0.7302 0.8620 0.3802
Tm 0.2622 0.1328 0.7467
Rh 0.1231 0.4933 0.8345
Rh 0.6143 0.2391 0.0987
Tm 0.7781 0.1628 0.7684
Ag 0.0297 0.9698 0.9926
Tm 0.5271 0.7868 0.9335
Rh 0.4348 0.4028 0.5938
Tm 0.9756 0.2223 0.3607
Tm 0.3707 0.4850 0.2049
Tm 0.9024 0.6266 0.1448

Summary:
Space-group type: P1

Stability verdict: arrangement two, ahead by 14 meV/atom

Arrangement one

The following is a PBE calculation of TmAgRh after structural relaxation, from Alexandria via LeMat-Bulk.

a = 3.4932 Å, b = 3.4932 Å, c = 5.3164 Å
α = 109.18°, β = 109.18°, γ = 90.00°
Positions (direct):
Rh 0.2892 0.2892 0.5783
Tm 0.9378 0.9378 0.8755
Ag 0.6231 0.6231 0.2462

Summary:
Space-group type: I4mm

Arrangement two

The following is a PBE calculation of TmAgRh after structural relaxation, from Alexandria via LeMat-Bulk.

a = 3.3427 Å, b = 5.5422 Å, c = 7.1408 Å
α = 112.83°, β = 103.54°, γ = 90.00°
Positions (direct):
Rh 0.8570 0.8570 0.7140
Ag 0.5000 0.2545 0.0000
Ag 0.5000 0.7455 0.0000
Rh 0.1430 0.1430 0.2860
Tm 0.1851 0.6851 0.3701
Tm 0.8149 0.3149 0.6299

Summary:
Space-group type: Immm

Stability verdict: arrangement one, ahead by 21 meV/atom

Arrangement one

The following is a PBE calculation of VAg3Rh after structural relaxation, from Alexandria via LeMat-Bulk.

a = 4.8188 Å, b = 4.8188 Å, c = 4.8188 Å
α = 90.00°, β = 90.00°, γ = 90.00°
Each line ends with the local moment (μB).
Positions (direct):
Ag 0.0000 0.0000 0.5000  0.11
Ag 0.0000 0.5000 0.0000  0.11
Ag 0.5000 0.0000 0.0000  0.11
V 0.0000 0.0000 0.0000  2.44
Rh 0.5000 0.5000 0.5000  0.77

Summary:
Space-group type: Pm-3m

Arrangement two

The following is a PBE calculation of VAg3Rh after structural relaxation, from Alexandria via LeMat-Bulk.

a = 4.9761 Å, b = 4.9761 Å, c = 4.9761 Å
α = 90.00°, β = 90.00°, γ = 90.00°
Each line ends with the local moment (μB).
Positions (direct):
Ag 0.0000 0.0000 0.5000  -0.04
Rh 0.0000 0.0000 0.0000  -0.56
Ag 0.0000 0.5000 0.0000  -0.04
V 0.5000 0.5000 0.5000  2.98
Ag 0.5000 0.0000 0.0000  -0.04

Summary:
Space-group type: Pm-3m

Stability verdict: arrangement two, ahead by 204 meV/atom

Arrangement one

The following is a PBE calculation of AgRhW2 after structural relaxation, from Alexandria via LeMat-Bulk.

a = 4.8149 Å, b = 4.8149 Å, c = 4.8149 Å
α = 130.32°, β = 130.32°, γ = 72.89°
Positions (direct):
W 0.2500 0.7500 0.5000
Rh 0.7500 0.2500 0.5000
Ag 0.5000 0.5000 0.0000
W 0.0000 0.0000 0.0000

Summary:
Space-group type: I-4m2

Arrangement two

The following is a PBE calculation of AgRhW2 after structural relaxation, from Alexandria via LeMat-Bulk.

a = 2.8734 Å, b = 4.7256 Å, c = 4.9071 Å
α = 72.11°, β = 90.00°, γ = 90.00°
Positions (direct):
W 0.5000 0.5000 0.0000
Rh 0.0000 0.5000 0.5000
Ag 0.5000 0.0000 0.5000
W 0.0000 0.0000 0.0000

Summary:
Space-group type: P2/m

Stability verdict: arrangement two, ahead by 70 meV/atom

Arrangement one

The following is a PBE calculation of AgRhW2 after structural relaxation, from Alexandria via LeMat-Bulk.

a = 4.4878 Å, b = 4.4878 Å, c = 4.4878 Å
α = 60.00°, β = 60.00°, γ = 60.00°
Positions (direct):
Ag 0.5000 0.5000 0.5000
W 0.0000 0.0000 0.0000
Rh 0.2500 0.2500 0.2500
W 0.7500 0.7500 0.7500

Summary:
Space-group type: F-43m

Arrangement two

The following is a PBE calculation of AgRhW2 after structural relaxation, from Alexandria via LeMat-Bulk.

a = 4.9872 Å, b = 4.9872 Å, c = 2.7474 Å
α = 90.00°, β = 90.00°, γ = 113.36°
Positions (direct):
W 0.0000 0.5000 0.0000
Rh 0.5000 0.5000 0.5000
Ag 0.0000 0.0000 0.5000
W 0.5000 0.0000 0.0000

Summary:
Space-group type: Cmmm

Arrangement three

The following is a PBE calculation of AgRhW2 after structural relaxation, from Alexandria via LeMat-Bulk.

a = 9.6112 Å, b = 9.6112 Å, c = 9.6112 Å
α = 16.69°, β = 16.69°, γ = 16.69°
Positions (direct):
Rh 0.0000 0.0000 0.0000
Ag 0.5000 0.5000 0.5000
W 0.7455 0.7455 0.7455
W 0.2545 0.2545 0.2545

Summary:
Space-group type: R-3m

Stability verdict: arrangement three, ahead by 53 meV/atom

Arrangement one

The following is a PBE calculation of AgRhW after structural relaxation, from Alexandria via LeMat-Bulk.

a = 7.5161 Å, b = 7.3082 Å, c = 2.7315 Å
α = 83.70°, β = 75.12°, γ = 21.18°
Positions (direct):
Rh 0.3256 0.3256 0.6744
Ag 0.9992 0.9992 0.0008
W 0.6751 0.6751 0.3249

Summary:
Space-group type: Fmm2

Arrangement two

The following is a PBE calculation of AgRhW after structural relaxation, from Alexandria via LeMat-Bulk.

a = 4.2816 Å, b = 4.2816 Å, c = 4.2816 Å
α = 60.00°, β = 60.00°, γ = 60.00°
Each line ends with the local moment (μB).
Positions (direct):
Rh 0.2500 0.2500 0.2500  0.11
Ag 0.5000 0.5000 0.5000  0.04
W 0.0000 0.0000 0.0000  0.42

Summary:
Space-group type: F-43m

Stability verdict: arrangement one, ahead by 515 meV/atom

Arrangement one

The following is a PBE calculation of AgRh2W after structural relaxation, from Alexandria via LeMat-Bulk.

a = 9.2357 Å, b = 9.2357 Å, c = 9.2357 Å
α = 17.54°, β = 17.54°, γ = 17.54°
Positions (direct):
Ag 0.0000 0.0000 0.0000
Rh 0.7557 0.7557 0.7557
W 0.5000 0.5000 0.5000
Rh 0.2443 0.2443 0.2443

Summary:
Space-group type: R-3m

Arrangement two

The following is a PBE calculation of AgRh2W after structural relaxation, from Alexandria via LeMat-Bulk.

a = 4.7440 Å, b = 4.7440 Å, c = 4.9652 Å
α = 80.64°, β = 80.64°, γ = 33.97°
Positions (direct):
Rh 0.2439 0.2439 0.7639
W 0.5000 0.5000 0.0000
Rh 0.7561 0.7561 0.2361
Ag 0.0000 0.0000 0.5000

Summary:
Space-group type: C2/m

Stability verdict: arrangement one, ahead by 213 meV/atom